1.
# Li3Ac2CdSn4

Crystalline Li3Ac2CdSn4 at its relaxed geometry (PBE, Alexandria via LeMat-Bulk).

Symmetry   P-4m2
DFT formation energy   -567 meV per atom
Uncorrected energy   -3.655 eV per atom

Geometry as POSCAR:
```
Li3Ac2CdSn4
1.0
-3.0295 -2.7594 -2.1498
2.4695 -3.7014 1.2709
-6.3703 -0.8106 10.0174
Sn Ac Cd Li
4 2 1 3
direct
0.0000 0.0000 0.0000
0.0000 0.5000 0.3535
0.5000 0.0000 0.6465
0.5000 0.5000 0.0000
0.5000 0.0000 0.2447
0.0000 0.5000 0.7553
0.5000 0.5000 0.5000
0.5000 0.0000 0.8693
0.0000 0.0000 0.5000
0.0000 0.5000 0.1307
```


2.
# Pm4Ga3

Crystalline Pm4Ga3 at its relaxed geometry (PBE, Alexandria via LeMat-Bulk).

Symmetry   I-43d
DFT formation energy   -449 meV per atom
Uncorrected energy   -4.461 eV per atom

Geometry as POSCAR:
```
Pm4Ga3
1.0
-0.2290 -6.6724 -4.2287
7.5198 1.9055 1.5093
-3.8659 -1.0633 6.8103
Ga Pm
6 8
direct
0.3750 0.1250 0.7500
0.2500 0.8750 0.1250
0.8750 0.2500 0.6250
0.7500 0.6250 0.3750
0.1250 0.3750 0.2500
0.6250 0.7500 0.8750
0.1451 0.6451 0.6451
0.6451 0.1451 0.1451
0.3549 0.5000 0.0000
0.5000 0.8549 0.5000
0.0000 0.0000 0.3549
0.5000 0.3549 0.5000
0.0000 0.0000 0.8549
0.8549 0.5000 0.0000
```


> Which of these has the highest DFT formation energy?

Pm4Ga3


> What is the formula in the second record?

Pm4Ga3


> Which formula does entry 1 have?

Li3Ac2CdSn4


> What is the uncorrected energy in the second record?

-4.461 eV per atom